[1]
# Ta2CrH PBE-GGA optimized geometry
data_Ta2CrH
_chemical_formula_sum 'Ta6 Cr3 H3'
_cell_length_a 2.8589
_cell_length_b 2.8589
_cell_length_c 23.0076
_cell_angle_alpha 90.00
_cell_angle_beta 90.00
_cell_angle_gamma 120.00
_symmetry_space_group_name_H-M 'R -3 m'
_symmetry_Int_Tables_number 166
_symmetry_space_group_name_Hall '-R 3 2"'
loop_
_atom_site_label
_atom_site_fract_x
_atom_site_fract_y
_atom_site_fract_z
Ta1 0.0000 0.0000 0.1069
Cr1 0.0000 0.0000 0.0000
H1 0.0000 0.0000 0.5000
# **DOS(E_F)**: 9.91 states/eV per cell
# **E above lowest polymorph**: 172 meV per atom

---

[2]
# Sr3Si2Ge4 PBE-GGA optimized geometry
data_Sr3Si2Ge4
_chemical_formula_sum 'Sr6 Si4 Ge8'
_cell_length_a 12.181
_cell_length_b 4.119
_cell_length_c 9.297
_cell_angle_alpha 90.00
_cell_angle_beta 102.00
_cell_angle_gamma 90.00
_symmetry_space_group_name_H-M 'C 1 2/m 1'
_symmetry_Int_Tables_number 12
loop_
_symmetry_equiv_pos_as_xyz
'x,y,z'
'-x,-y,-z'
'-x,y,-z'
'x,-y,z'
'x+1/2,y+1/2,z'
'-x+1/2,-y+1/2,-z'
'-x+1/2,y+1/2,-z'
'x+1/2,-y+1/2,z'
loop_
_atom_site_label
_atom_site_fract_x
_atom_site_fract_y
_atom_site_fract_z
Sr1 0.000 0.000 0.000
Sr2 0.164 0.500 0.664
Si1 0.116 0.500 0.271
Ge1 0.059 0.000 0.384
Ge2 0.220 0.500 0.062
# **DOS(E_F)**: 5.63 states/eV per cell
# **E above lowest polymorph**: 0 meV per atom

---

[3]
# Ba2UBeS5 PBE-GGA optimized geometry
data_Ba2UBeS5
_chemical_formula_sum 'Ba8 U4 Be4 S20'
_cell_length_a 4.071
_cell_length_b 17.655
_cell_length_c 13.109
_cell_angle_alpha 90.00
_cell_angle_beta 90.00
_cell_angle_gamma 90.00
_symmetry_space_group_name_H-M 'C m c 21'
_symmetry_Int_Tables_number 36
loop_
_symmetry_equiv_pos_as_xyz
'x,y,z'
'-x,-y,z+1/2'
'-x,y,z'
'x,-y,z+1/2'
'x+1/2,y+1/2,z'
'-x+1/2,-y+1/2,z+1/2'
'-x+1/2,y+1/2,z'
'x+1/2,-y+1/2,z+1/2'
loop_
_atom_site_label
_atom_site_fract_x
_atom_site_fract_y
_atom_site_fract_z
Ba1 0.000 0.119 0.000
Ba2 0.000 0.120 0.645
U1 0.000 0.191 0.333
Be1 0.000 0.437 0.722
S1 0.000 0.042 0.306
S2 0.000 0.305 0.971
S3 0.000 0.316 0.690
S4 0.000 0.339 0.323
S5 0.000 0.496 0.589
# **Total energy**: -6.000 eV per atom
# **DOS(E_F)**: 16.23 states/eV per cell

---

What is the formula in the third record? Ba2UBeS5

---

The lowest DOS(E_F) belongs to which entry? Sr3Si2Ge4